# NaAl6Ga2, relaxed, DFT PBE
data_NaAl6Ga2
_chemical_formula_sum 'Na1 Al6 Ga2'
_cell_length_a 4.118
_cell_length_b 4.118
_cell_length_c 9.843
_cell_angle_alpha 90.00
_cell_angle_beta 90.00
_cell_angle_gamma 90.00
_space_group_name_H-M_alt 'P 4/m m m'
_space_group_IT_number 123
_space_group_name_Hall '-P 4 2'
loop_
_atom_site_label
_atom_site_type_symbol
_atom_site_fract_x
_atom_site_fract_y
_atom_site_fract_z
Na1 Na 0.000 0.000 0.000
Al1 Al 0.000 0.000 0.500
Al2 Al 0.000 0.500 0.300
Al3 Al 0.500 0.500 0.500
Ga1 Ga 0.500 0.500 0.129
# Final energy ... -3.3537 eV per atom

=====

# NaAl2Ga4, relaxed, DFT PBE
data_NaAl2Ga4
_chemical_formula_sum 'Na2 Al4 Ga8'
_cell_length_a 8.787
_cell_length_b 7.075
_cell_length_c 5.078
_cell_angle_alpha 90.00
_cell_angle_beta 120.00
_cell_angle_gamma 90.00
_space_group_name_H-M_alt 'C 1 2/m 1'
_space_group_IT_number 12
loop_
_space_group_symop_operation_xyz
'x,y,z'
'-x,-y,-z'
'-x,y,-z'
'x,-y,z'
'x+1/2,y+1/2,z'
'-x+1/2,-y+1/2,-z'
'-x+1/2,y+1/2,-z'
'x+1/2,-y+1/2,z'
loop_
_atom_site_label
_atom_site_type_symbol
_atom_site_fract_x
_atom_site_fract_y
_atom_site_fract_z
Na1 Na 0.000 0.000 0.000
Al1 Al 0.046 0.500 0.794
Ga1 Ga 0.191 0.192 0.681
# Final energy ... -3.0066 eV per atom

=====

# Na5AlGa4, relaxed, DFT PBE
data_Na5AlGa4
_chemical_formula_sum 'Na10 Al2 Ga8'
_cell_length_a 16.992
_cell_length_b 4.173
_cell_length_c 7.922
_cell_angle_alpha 90.00
_cell_angle_beta 107.30
_cell_angle_gamma 90.00
_space_group_name_H-M_alt 'C 1 2/m 1'
_space_group_IT_number 12
loop_
_space_group_symop_operation_xyz
'x,y,z'
'-x,-y,-z'
'-x,y,-z'
'x,-y,z'
'x+1/2,y+1/2,z'
'-x+1/2,-y+1/2,-z'
'-x+1/2,y+1/2,-z'
'x+1/2,-y+1/2,z'
loop_
_atom_site_label
_atom_site_type_symbol
_atom_site_fract_x
_atom_site_fract_y
_atom_site_fract_z
Na1 Na 0.000 0.000 0.000
Na2 Na 0.162 0.500 0.519
Na3 Na 0.181 0.500 0.088
Al1 Al 0.000 0.000 0.500
Ga1 Ga 0.024 0.500 0.724
Ga2 Ga 0.130 0.000 0.786
# Final energy ... -2.2780 eV per atom

=====

# Na3Al7Ga4, relaxed, DFT PBE
data_Na3Al7Ga4
_chemical_formula_sum 'Na6 Al14 Ga8'
_cell_length_a 15.916
_cell_length_b 4.374
_cell_length_c 10.018
_cell_angle_alpha 90.00
_cell_angle_beta 127.80
_cell_angle_gamma 90.00
_space_group_name_H-M_alt 'C 1 2/m 1'
_space_group_IT_number 12
loop_
_space_group_symop_operation_xyz
'x,y,z'
'-x,-y,-z'
'-x,y,-z'
'x,-y,z'
'x+1/2,y+1/2,z'
'-x+1/2,-y+1/2,-z'
'-x+1/2,y+1/2,-z'
'x+1/2,-y+1/2,z'
loop_
_atom_site_label
_atom_site_type_symbol
_atom_site_fract_x
_atom_site_fract_y
_atom_site_fract_z
Na1 Na 0.000 0.000 0.000
Na2 Na 0.206 0.500 0.712
Al1 Al 0.000 0.000 0.500
Al2 Al 0.006 0.500 0.325
Al3 Al 0.153 0.500 0.014
Al4 Al 0.157 0.000 0.435
Ga1 Ga 0.140 0.000 0.852
Ga2 Ga 0.149 0.500 0.270
# Final energy ... -3.0426 eV per atom

=====

# NaAl4Ga, relaxed, DFT PBE
data_NaAl4Ga
_chemical_formula_sum 'Na4 Al16 Ga4'
_cell_length_a 7.808
_cell_length_b 7.808
_cell_length_c 7.808
_cell_angle_alpha 90.00
_cell_angle_beta 90.00
_cell_angle_gamma 90.00
_space_group_name_H-M_alt 'F -4 3 m'
_space_group_IT_number 216
_space_group_name_Hall 'F -4 2 3'
loop_
_atom_site_label
_atom_site_type_symbol
_atom_site_fract_x
_atom_site_fract_y
_atom_site_fract_z
Na1 Na 0.000 0.000 0.000
Al1 Al 0.125 0.125 0.375
Ga1 Ga 0.250 0.250 0.750
# Final energy ... -3.1110 eV per atom

=====

# NaAl3Ga, relaxed, DFT PBE
data_NaAl3Ga
_chemical_formula_sum 'Na1 Al3 Ga1'
_cell_length_a 5.037
_cell_length_b 5.037
_cell_length_c 5.037
_cell_angle_alpha 90.00
_cell_angle_beta 90.00
_cell_angle_gamma 90.00
_space_group_name_H-M_alt 'P m -3 m'
_space_group_IT_number 221
_space_group_name_Hall '-P 4 2 3'
loop_
_atom_site_label
_atom_site_type_symbol
_atom_site_fract_x
_atom_site_fract_y
_atom_site_fract_z
Na1 Na 0.000 0.000 0.000
Al1 Al 0.000 0.500 0.500
Ga1 Ga 0.500 0.500 0.500
# Final energy ... -2.6444 eV per atom

=====

# NaAlGa5, relaxed, DFT PBE
data_NaAlGa5
_chemical_formula_sum 'Na1 Al1 Ga5'
_cell_length_a 4.024
_cell_length_b 4.024
_cell_length_c 9.206
_cell_angle_alpha 90.00
_cell_angle_beta 90.00
_cell_angle_gamma 90.00
_space_group_name_H-M_alt 'P 4/m m m'
_space_group_IT_number 123
_space_group_name_Hall '-P 4 2'
loop_
_atom_site_label
_atom_site_type_symbol
_atom_site_fract_x
_atom_site_fract_y
_atom_site_fract_z
Na1 Na 0.000 0.000 0.000
Al1 Al 0.000 0.000 0.500
Ga1 Ga 0.000 0.500 0.273
Ga2 Ga 0.500 0.500 0.500
# Final energy ... -2.9041 eV per atom

=====

# Na2AlGa10, relaxed, DFT PBE
data_Na2AlGa10
_chemical_formula_sum 'Na4 Al2 Ga20'
_cell_length_a 5.941
_cell_length_b 6.387
_cell_length_c 15.646
_cell_angle_alpha 90.00
_cell_angle_beta 96.73
_cell_angle_gamma 90.00
_space_group_name_H-M_alt 'P 1 21/c 1'
_space_group_IT_number 14
loop_
_space_group_symop_operation_xyz
'x,y,z'
'-x,-y,-z'
'-x,y+1/2,-z+1/2'
'x,-y+1/2,z+1/2'
loop_
_atom_site_label
_atom_site_type_symbol
_atom_site_fract_x
_atom_site_fract_y
_atom_site_fract_z
Na1 Na 0.021 0.127 0.373
Al1 Al 0.500 0.000 0.500
Ga1 Ga 0.180 0.657 0.459
Ga2 Ga 0.260 0.199 0.069
Ga3 Ga 0.297 0.645 0.301
Ga4 Ga 0.481 0.014 0.676
Ga5 Ga 0.486 0.148 0.907
# Final energy ... -2.8152 eV per atom

=====

# NaAlGa6, relaxed, DFT PBE
data_NaAlGa6
_chemical_formula_sum 'Na1 Al1 Ga6'
_cell_length_a 5.378
_cell_length_b 5.378
_cell_length_c 5.378
_cell_angle_alpha 90.00
_cell_angle_beta 90.00
_cell_angle_gamma 90.00
_space_group_name_H-M_alt 'P m -3'
_space_group_IT_number 200
_space_group_name_Hall '-P 2 2 3'
loop_
_atom_site_label
_atom_site_type_symbol
_atom_site_fract_x
_atom_site_fract_y
_atom_site_fract_z
Na1 Na 0.000 0.000 0.000
Al1 Al 0.500 0.500 0.500
Ga1 Ga 0.000 0.251 0.500
# Final energy ... -2.8384 eV per atom

=====

# NaAl2Ga, relaxed, DFT PBE
data_NaAl2Ga
_chemical_formula_sum 'Na3 Al6 Ga3'
_cell_length_a 4.4441
_cell_length_b 4.4441
_cell_length_c 16.3185
_cell_angle_alpha 90.00
_cell_angle_beta 90.00
_cell_angle_gamma 120.00
_space_group_name_H-M_alt 'R -3 m'
_space_group_IT_number 166
_space_group_name_Hall '-R 3 2"'
loop_
_atom_site_label
_atom_site_type_symbol
_atom_site_fract_x
_atom_site_fract_y
_atom_site_fract_z
Na1 Na 0.0000 0.0000 0.0000
Al1 Al 0.0000 0.0000 0.2104
Ga1 Ga 0.0000 0.0000 0.5000
# Final energy ... -2.8095 eV per atom

=====

# NaAl2Ga, relaxed, DFT PBE
data_NaAl2Ga
_chemical_formula_sum 'Na4 Al8 Ga4'
_cell_length_a 4.126
_cell_length_b 4.126
_cell_length_c 20.078
_cell_angle_alpha 90.00
_cell_angle_beta 90.00
_cell_angle_gamma 90.00
_space_group_name_H-M_alt 'I -4 2 d'
_space_group_IT_number 122
_space_group_name_Hall 'I -4 2bw'
loop_
_atom_site_label
_atom_site_type_symbol
_atom_site_fract_x
_atom_site_fract_y
_atom_site_fract_z
Na1 Na 0.000 0.000 0.000
Al1 Al 0.230 0.750 0.625
Ga1 Ga 0.000 0.000 0.500
# Final energy ... -2.6785 eV per atom

=====

# NaAl3Ga2, relaxed, DFT PBE
data_NaAl3Ga2
_chemical_formula_sum 'Na4 Al12 Ga8'
_cell_length_a 16.378
_cell_length_b 4.080
_cell_length_c 8.023
_cell_angle_alpha 90.00
_cell_angle_beta 113.50
_cell_angle_gamma 90.00
_space_group_name_H-M_alt 'C 1 2/m 1'
_space_group_IT_number 12
loop_
_space_group_symop_operation_xyz
'x,y,z'
'-x,-y,-z'
'-x,y,-z'
'x,-y,z'
'x+1/2,y+1/2,z'
'-x+1/2,-y+1/2,-z'
'-x+1/2,y+1/2,-z'
'x+1/2,-y+1/2,z'
loop_
_atom_site_label
_atom_site_type_symbol
_atom_site_fract_x
_atom_site_fract_y
_atom_site_fract_z
Na1 Na 0.150 0.000 0.050
Al1 Al 0.049 0.000 0.393
Al2 Al 0.087 0.500 0.665
Al3 Al 0.181 0.500 0.443
Ga1 Ga 0.020 0.500 0.167
Ga2 Ga 0.202 0.000 0.703
# Final energy ... -3.1414 eV per atom

=====

| no. | theoretical density (g/cm3) | calculated formation energy (eV/atom) | V (Å³ per cell) |
| --- | --- | --- | --- |
| 1 | 3.23 | -0.039 | 166.9 |
| 2 | 4.32 | -0.019 | 273.4 |
| 3 | 2.61 | -0.033 | 536.3 |
| 4 | 3.23 | -0.024 | 551.0 |
| 5 | 2.80 | 0.108 | 476.1 |
| 6 | 2.26 | 0.470 | 127.8 |
| 7 | 4.44 | -0.019 | 149.1 |
| 8 | 4.34 | 0.004 | 589.6 |
| 9 | 5.00 | 0.064 | 155.6 |
| 10 | 2.62 | 0.148 | 279.1 |
| 11 | 2.85 | 0.279 | 341.8 |
| 12 | 3.29 | -0.041 | 491.7 |